Material: SrVAu
Method: DFT, GGA-PBE
State: relaxed

Results
**Excess energy over the best structure of this formula in the dataset**: 5.9 kJ per mole of atoms
**ρ**: 7.15 Mg/m³

Structure (CIF):
```
data_SrVAu
_chemical_formula_sum 'Sr2 V2 Au2'
_cell_length_a 4.358
_cell_length_b 4.441
_cell_length_c 8.076
_cell_angle_alpha 90.00
_cell_angle_beta 94.22
_cell_angle_gamma 90.00
_space_group_name_H-M_alt 'P 1 m 1'
_space_group_IT_number 6
_space_group_name_Hall 'P -2y'
loop_
_atom_site_label
_atom_site_type_symbol
_atom_site_fract_x
_atom_site_fract_y
_atom_site_fract_z
Sr1 Sr 0.000 0.000 0.000
Sr2 Sr 0.471 0.500 0.661
V1 V 0.549 0.000 0.328
V2 V 0.919 0.000 0.470
Au1 Au 0.035 0.500 0.326
Au2 Au 0.506 0.500 0.080
```


Material: Lu2NbCd
Method: DFT, GGA-PBE
State: relaxed

Results
**Excess energy over the best structure of this formula in the dataset**: 0.0 kJ per mole of atoms
**ρ**: 9.74 Mg/m³

Structure (CIF):
```
data_Lu2NbCd
_chemical_formula_sum 'Lu2 Nb1 Cd1'
_cell_length_a 3.310
_cell_length_b 3.310
_cell_length_c 8.640
_cell_angle_alpha 90.00
_cell_angle_beta 90.00
_cell_angle_gamma 90.00
_space_group_name_H-M_alt 'P 4/m m m'
_space_group_IT_number 123
_space_group_name_Hall '-P 4 2'
loop_
_atom_site_label
_atom_site_type_symbol
_atom_site_fract_x
_atom_site_fract_y
_atom_site_fract_z
Lu1 Lu 0.000 0.000 0.240
Nb1 Nb 0.500 0.500 0.000
Cd1 Cd 0.500 0.500 0.500
```


Material: NaRhS2O8
Method: DFT, GGA-PBE
State: relaxed

Results
**VASP energy**: -5.9841 eV/atom
**ρ**: 3.43 Mg/m³

Structure (CIF):
```
data_NaRhS2O8
_chemical_formula_sum 'Na1 Rh1 S2 O8'
_cell_length_a 4.7515
_cell_length_b 4.7515
_cell_length_c 7.8642
_cell_angle_alpha 90.00
_cell_angle_beta 90.00
_cell_angle_gamma 120.00
_space_group_name_H-M_alt 'P -3'
_space_group_IT_number 147
_space_group_name_Hall '-P 3'
loop_
_atom_site_label
_atom_site_type_symbol
_atom_site_fract_x
_atom_site_fract_y
_atom_site_fract_z
Na1 Na 0.0000 0.0000 0.0000
Rh1 Rh 0.0000 0.0000 0.5000
S1 S 0.3333 0.6667 0.7254
O1 O 0.0445 0.3563 0.6637
O2 O 0.3333 0.6667 0.9112
```


Material: BiTeC
Method: DFT, GGA-PBE
State: relaxed

Results
**Excess energy over the best structure of this formula in the dataset**: 0.0 kJ per mole of atoms
**ρ**: 6.17 Mg/m³

Structure (CIF):
```
data_BiTeC
_chemical_formula_sum 'Bi2 Te2 C2'
_cell_length_a 4.450
_cell_length_b 4.459
_cell_length_c 10.553
_cell_angle_alpha 88.89
_cell_angle_beta 89.77
_cell_angle_gamma 63.71
_space_group_name_H-M_alt 'P 1'
_space_group_IT_number 1
_space_group_name_Hall 'P 1'
loop_
_atom_site_label
_atom_site_type_symbol
_atom_site_fract_x
_atom_site_fract_y
_atom_site_fract_z
Bi1 Bi 0.000 0.000 0.000
Bi2 Bi 0.357 0.329 0.390
Te1 Te 0.029 0.991 0.547
Te2 Te 0.710 0.697 0.198
C1 C 0.236 0.509 0.895
C2 C 0.501 0.242 0.895
```


Material: Tb2Sm3YAs6
Method: DFT, GGA-PBE
State: relaxed

Results
**VASP energy**: -6.3509 eV/atom
**ρ**: 7.03 Mg/m³

Structure (CIF):
```
data_Tb2Sm3YAs6
_chemical_formula_sum 'Tb4 Sm6 Y2 As12'
_cell_length_a 18.191
_cell_length_b 4.176
_cell_length_c 8.346
_cell_angle_alpha 90.00
_cell_angle_beta 103.23
_cell_angle_gamma 90.00
_space_group_name_H-M_alt 'C 1 2/m 1'
_space_group_IT_number 12
_space_group_name_Hall '-C 2y'
loop_
_atom_site_label
_atom_site_type_symbol
_atom_site_fract_x
_atom_site_fract_y
_atom_site_fract_z
Tb1 Tb 0.167 0.000 0.333
Sm1 Sm 0.000 0.500 0.500
Sm2 Sm 0.167 0.000 0.833
Y1 Y 0.000 0.500 0.000
As1 As 0.001 0.000 0.247
As2 As 0.165 0.500 0.086
As3 As 0.168 0.500 0.581
```


Material: Li3TeO4
Method: DFT, GGA-PBE
State: relaxed

Results
**Excess energy over the best structure of this formula in the dataset**: 7.8 kJ per mole of atoms
**ρ**: 2.84 Mg/m³

Structure (CIF):
```
data_Li3TeO4
_chemical_formula_sum 'Li9 Te3 O12'
_cell_length_a 8.7655
_cell_length_b 8.7655
_cell_length_c 5.5946
_cell_angle_alpha 90.00
_cell_angle_beta 90.00
_cell_angle_gamma 120.00
_space_group_name_H-M_alt 'R 3 m'
_space_group_IT_number 160
_space_group_name_Hall 'R 3 -2"'
loop_
_atom_site_label
_atom_site_type_symbol
_atom_site_fract_x
_atom_site_fract_y
_atom_site_fract_z
Li1 Li 0.1065 0.2130 0.0000
Te1 Te 0.0000 0.0000 0.4242
O1 O 0.0000 0.0000 0.7870
O2 O 0.2137 0.1068 0.2413
```


Material: CdH2Rh2
Method: DFT, GGA-PBE
State: relaxed

Results
**Excess energy over the best structure of this formula in the dataset**: 0.0 kJ per mole of atoms
**ρ**: 9.81 Mg/m³

Structure (CIF):
```
data_CdH2Rh2
_chemical_formula_sum 'Cd2 H4 Rh4'
_cell_length_a 3.128
_cell_length_b 3.128
_cell_length_c 11.080
_cell_angle_alpha 90.00
_cell_angle_beta 90.00
_cell_angle_gamma 90.00
_space_group_name_H-M_alt 'I 4/m m m'
_space_group_IT_number 139
_space_group_name_Hall '-I 4 2'
loop_
_atom_site_label
_atom_site_type_symbol
_atom_site_fract_x
_atom_site_fract_y
_atom_site_fract_z
Cd1 Cd 0.000 0.000 0.000
H1 H 0.000 0.500 0.250
Rh1 Rh 0.000 0.000 0.341
```


Material: Na2RhCl5
Method: DFT, GGA-PBE
State: relaxed

Results
**VASP energy**: -3.5224 eV/atom
**ρ**: 2.49 Mg/m³

Structure (CIF):
```
data_Na2RhCl5
_chemical_formula_sum 'Na8 Rh4 Cl20'
_cell_length_a 4.771
_cell_length_b 14.184
_cell_length_c 12.842
_cell_angle_alpha 90.00
_cell_angle_beta 90.00
_cell_angle_gamma 90.00
_space_group_name_H-M_alt 'C m c m'
_space_group_IT_number 63
_space_group_name_Hall '-C 2c 2'
loop_
_atom_site_label
_atom_site_type_symbol
_atom_site_fract_x
_atom_site_fract_y
_atom_site_fract_z
Na1 Na 0.000 0.145 0.064
Rh1 Rh 0.000 0.162 0.750
Cl1 Cl 0.000 0.046 0.621
Cl2 Cl 0.000 0.279 0.614
Cl3 Cl 0.000 0.305 0.250
```